Here is a relaxed Zr2CoF11 crystal from the Alexandria database. Energies are from GGA+U.

Cell and atoms, written as POSCAR:
```
Zr2CoF11
1.0
7.149 0.000 3.726
3.356 7.110 2.283
0.282 -0.200 8.180
F Co Zr
22 2 4
Cartesian
8.788 5.500 6.766 F
7.518 6.921 10.433 F
1.358 1.642 4.810 F
7.592 3.443 10.292 F
7.821 5.097 12.462 F
9.428 5.267 9.378 F
3.268 -0.012 3.755 F
3.195 3.466 3.896 F
3.013 3.707 8.084 F
4.130 1.509 5.942 F
0.551 0.253 2.518 F
6.656 5.400 8.247 F
1.998 1.410 7.422 F
5.306 4.964 10.838 F
0.000 0.000 0.000 F
5.755 1.844 8.935 F
5.480 1.946 3.351 F
5.393 3.455 7.094 F
5.031 5.065 5.253 F
2.965 1.813 1.726 F
10.235 6.657 11.670 F
7.773 3.202 6.104 F
2.697 1.727 3.547 Co
8.090 5.182 10.641 Co
4.007 2.045 7.817 Zr
3.557 5.701 3.833 Zr
7.229 1.209 10.355 Zr
6.780 4.864 6.371 Zr
```

Output
The value obtained for the uncorrected energy is -6.143 eV per atom.